# 1
Entry from Alexandria via LeMat-Bulk: TbCePt4 after structural relaxation (PBE).

The space group is F-43m (No. 216) and the conventional cell measures 7.732, 7.732 and 7.732 Å, with angles of 90.00, 90.00 and 90.00 degrees. The asymmetric unit holds Tb at (0.000, 0.000, 0.000), Ce at (0.250, 0.250, 0.250) and Pt at (0.125, 0.125, 0.625).

The calculated formation energy is -1.069 eV per atom.

# 2
Entry from Alexandria via LeMat-Bulk: InAgTe2N after structural relaxation (PBE).

The space group is P4/mmm (No. 123) and the conventional cell measures 5.779, 5.779 and 3.947 Å, with angles of 90.00, 90.00 and 90.00 degrees. The asymmetric unit holds In at (0.000, 0.000, 0.000), Ag at (0.500, 0.500, 0.500), Te at (0.000, 0.500, 0.500) and N at (0.500, 0.500, 0.000).

For the uncorrected formation energy, the calculation gives 4.4 eV per formula unit. The relative energy among the computed polymorphs comes out at 0 meV per atom.

Respective size of the total moment values: 0.739 1.537 μB per formula unit.
Respective mass density values: 15.507 6.196 g/cm³.